# 1
Here is a relaxed RbBa3Fe crystal from Alexandria. Energies are from PBE-GGA.

The structure in CIF format:
```
data_RbBa3Fe
_symmetry_space_group_name_H-M 'P 1'
_symmetry_Int_Tables_number 1
_symmetry_space_group_name_Hall 'P 1'
_cell_length_a 6.272
_cell_length_b 6.272
_cell_length_c 6.272
_cell_angle_alpha 90.00
_cell_angle_beta 90.00
_cell_angle_gamma 90.00
loop_
_atom_site_label
_atom_site_type_symbol
_atom_site_fract_x
_atom_site_fract_y
_atom_site_fract_z
Rb1 Rb 0.000 0.000 0.000
Ba1 Ba 0.000 0.500 0.500
Ba2 Ba 0.500 0.000 0.500
Ba3 Ba 0.500 0.500 0.000
Fe1 Fe 0.500 0.500 0.500
```

Values from the calculation:
* E_form: 0.51 eV/atom
* symmetry: Pm-3m (221)
* relative energy among the computed polymorphs: 0 meV/atom
* Fermi-level density of states: 11.7 states/eV per cell

# 2
Here is a relaxed CaAcSb crystal from Alexandria. Energies are from PBE-GGA.

The structure in CIF format:
```
data_CaAcSb
_symmetry_space_group_name_H-M 'P 1'
_symmetry_Int_Tables_number 1
_symmetry_space_group_name_Hall 'P 1'
_cell_length_a 4.095
_cell_length_b 4.095
_cell_length_c 13.257
_cell_angle_alpha 90.00
_cell_angle_beta 90.00
_cell_angle_gamma 90.00
loop_
_atom_site_label
_atom_site_type_symbol
_atom_site_fract_x
_atom_site_fract_y
_atom_site_fract_z
Ca1 Ca 0.000 0.000 0.000
Ca2 Ca 0.500 0.500 0.500
Ac1 Ac 0.000 0.000 0.267
Ac2 Ac 0.500 0.500 0.767
Sb1 Sb 0.000 0.000 0.624
Sb2 Sb 0.500 0.500 0.124
```

Values from the calculation:
* symmetry: I4mm (107)
* relative energy among the computed polymorphs: 130 meV/atom
* Fermi-level density of states: 5.3 states/eV per cell

# 3
Here is a relaxed BaPuTe2 crystal from Alexandria. Energies are from PBE-GGA.

The structure in CIF format:
```
data_BaPuTe2
_symmetry_space_group_name_H-M 'P 1'
_symmetry_Int_Tables_number 1
_symmetry_space_group_name_Hall 'P 1'
_cell_length_a 4.675
_cell_length_b 4.675
_cell_length_c 23.536
_cell_angle_alpha 90.00
_cell_angle_beta 90.00
_cell_angle_gamma 120.00
loop_
_atom_site_label
_atom_site_type_symbol
_atom_site_fract_x
_atom_site_fract_y
_atom_site_fract_z
Ba1 Ba 0.000 0.000 0.000
Ba2 Ba 0.333 0.667 0.667
Ba3 Ba 0.667 0.333 0.333
Pu1 Pu 0.000 0.000 0.500
Pu2 Pu 0.333 0.667 0.167
Pu3 Pu 0.667 0.333 0.833
Te1 Te 0.000 0.000 0.240
Te2 Te 0.000 0.000 0.760
Te3 Te 0.333 0.667 0.427
Te4 Te 0.333 0.667 0.907
Te5 Te 0.667 0.333 0.093
Te6 Te 0.667 0.333 0.573
```

Values from the calculation:
* symmetry: R-3m (166)
* relative energy among the computed polymorphs: 0 meV/atom
* Fermi-level density of states: 38.8 states/eV per cell

# 4
Here is a relaxed LiLuZrIn crystal from Alexandria. Energies are from PBE-GGA.

The structure in CIF format:
```
data_LiLuZrIn
_symmetry_space_group_name_H-M 'P 1'
_symmetry_Int_Tables_number 1
_symmetry_space_group_name_Hall 'P 1'
_cell_length_a 7.108
_cell_length_b 7.108
_cell_length_c 7.108
_cell_angle_alpha 90.00
_cell_angle_beta 90.00
_cell_angle_gamma 90.00
loop_
_atom_site_label
_atom_site_type_symbol
_atom_site_fract_x
_atom_site_fract_y
_atom_site_fract_z
Li1 Li 0.000 0.000 0.000
Li2 Li 0.000 0.500 0.500
Li3 Li 0.500 0.000 0.500
Li4 Li 0.500 0.500 0.000
Lu1 Lu 0.250 0.250 0.750
Lu2 Lu 0.250 0.750 0.250
Lu3 Lu 0.750 0.250 0.250
Lu4 Lu 0.750 0.750 0.750
Zr1 Zr 0.250 0.250 0.250
Zr2 Zr 0.250 0.750 0.750
Zr3 Zr 0.750 0.250 0.750
Zr4 Zr 0.750 0.750 0.250
In1 In 0.000 0.000 0.500
In2 In 0.000 0.500 0.000
In3 In 0.500 0.000 0.000
In4 In 0.500 0.500 0.500
```

Values from the calculation:
* E_form: -0.11 eV/atom
* symmetry: F-43m (216)
* Fermi-level density of states: 11.4 states/eV per cell

# 5
Here is a relaxed TaInPdO6 crystal from Alexandria. Energies are from PBE-GGA.

The structure in CIF format:
```
data_TaInPdO6
_symmetry_space_group_name_H-M 'P 1'
_symmetry_Int_Tables_number 1
_symmetry_space_group_name_Hall 'P 1'
_cell_length_a 4.787
_cell_length_b 4.787
_cell_length_c 9.575
_cell_angle_alpha 90.00
_cell_angle_beta 90.00
_cell_angle_gamma 90.00
loop_
_atom_site_label
_atom_site_type_symbol
_atom_site_fract_x
_atom_site_fract_y
_atom_site_fract_z
Ta1 Ta 0.000 0.000 0.000
Ta2 Ta 0.500 0.500 0.500
In1 In 0.000 0.000 0.330
In2 In 0.500 0.500 0.830
Pd1 Pd 0.000 0.000 0.662
Pd2 Pd 0.500 0.500 0.162
O1 O 0.181 0.181 0.833
O2 O 0.201 0.201 0.504
O3 O 0.202 0.202 0.149
O4 O 0.298 0.702 0.649
O5 O 0.299 0.701 0.004
O6 O 0.319 0.681 0.333
O7 O 0.681 0.319 0.333
O8 O 0.701 0.299 0.004
O9 O 0.702 0.298 0.649
O10 O 0.798 0.798 0.149
O11 O 0.799 0.799 0.504
O12 O 0.819 0.819 0.833
```

Values from the calculation:
* uncorrected energy: -7.1008 eV/atom
* symmetry: P4_2nm (102)

# 6
Here is a relaxed Sm4Y7In crystal from Alexandria. Energies are from PBE-GGA.

The structure in CIF format:
```
data_Sm4Y7In
_symmetry_space_group_name_H-M 'P 1'
_symmetry_Int_Tables_number 1
_symmetry_space_group_name_Hall 'P 1'
_cell_length_a 8.917
_cell_length_b 8.917
_cell_length_c 9.876
_cell_angle_alpha 122.58
_cell_angle_beta 122.58
_cell_angle_gamma 38.68
loop_
_atom_site_label
_atom_site_type_symbol
_atom_site_fract_x
_atom_site_fract_y
_atom_site_fract_z
Sm1 Sm 0.078 0.078 0.439
Sm2 Sm 0.280 0.280 0.309
Sm3 Sm 0.720 0.720 0.691
Sm4 Sm 0.922 0.922 0.561
Y1 Y 0.000 0.000 0.000
Y2 Y 0.197 0.197 0.878
Y3 Y 0.315 0.315 0.665
Y4 Y 0.455 0.455 0.263
Y5 Y 0.545 0.545 0.737
Y6 Y 0.685 0.685 0.335
Y7 Y 0.803 0.803 0.122
In1 In 0.500 0.500 0.000
```

Values from the calculation:
* E_form: 0.13 eV/atom
* symmetry: C2/m (12)
* relative energy among the computed polymorphs: 7 meV/atom
* Fermi-level density of states: 19.0 states/eV per cell

# 7
Here is a relaxed ZrSc2Ni crystal from Alexandria. Energies are from PBE-GGA.

The structure in CIF format:
```
data_ZrSc2Ni
_symmetry_space_group_name_H-M 'P 1'
_symmetry_Int_Tables_number 1
_symmetry_space_group_name_Hall 'P 1'
_cell_length_a 3.350
_cell_length_b 4.273
_cell_length_c 5.841
_cell_angle_alpha 90.00
_cell_angle_beta 104.68
_cell_angle_gamma 90.00
loop_
_atom_site_label
_atom_site_type_symbol
_atom_site_fract_x
_atom_site_fract_y
_atom_site_fract_z
Zr1 Zr 0.000 0.000 0.000
Sc1 Sc 0.392 0.500 0.728
Sc2 Sc 0.777 0.000 0.445
Ni1 Ni 0.395 0.500 0.214
```

Values from the calculation:
* E_form: -0.06 eV/atom
* symmetry: Pm (6)
* relative energy among the computed polymorphs: 190 meV/atom
* Fermi-level density of states: 4.9 states/eV per cell

# 8
Here is a relaxed Ba5As2O crystal from Alexandria. Energies are from PBE-GGA.

The structure in CIF format:
```
data_Ba5As2O
_symmetry_space_group_name_H-M 'P 1'
_symmetry_Int_Tables_number 1
_symmetry_space_group_name_Hall 'P 1'
_cell_length_a 14.921
_cell_length_b 5.158
_cell_length_c 16.861
_cell_angle_alpha 90.00
_cell_angle_beta 90.00
_cell_angle_gamma 90.00
loop_
_atom_site_label
_atom_site_type_symbol
_atom_site_fract_x
_atom_site_fract_y
_atom_site_fract_z
Ba1 Ba 0.012 0.250 0.150
Ba2 Ba 0.018 0.750 0.395
Ba3 Ba 0.198 0.250 0.962
Ba4 Ba 0.238 0.750 0.120
Ba5 Ba 0.244 0.250 0.278
Ba6 Ba 0.256 0.750 0.778
Ba7 Ba 0.262 0.250 0.620
Ba8 Ba 0.302 0.750 0.462
Ba9 Ba 0.482 0.250 0.895
Ba10 Ba 0.488 0.750 0.650
Ba11 Ba 0.512 0.250 0.350
Ba12 Ba 0.518 0.750 0.105
Ba13 Ba 0.698 0.250 0.538
Ba14 Ba 0.738 0.750 0.380
Ba15 Ba 0.744 0.250 0.222
Ba16 Ba 0.756 0.750 0.722
Ba17 Ba 0.762 0.250 0.880
Ba18 Ba 0.802 0.750 0.038
Ba19 Ba 0.982 0.250 0.605
Ba20 Ba 0.988 0.750 0.850
As1 As 0.113 0.250 0.773
As2 As 0.143 0.250 0.456
As3 As 0.357 0.750 0.956
As4 As 0.387 0.750 0.273
As5 As 0.613 0.250 0.727
As6 As 0.643 0.250 0.044
As7 As 0.857 0.750 0.544
As8 As 0.887 0.750 0.227
O1 O 0.183 0.250 0.127
O2 O 0.317 0.750 0.627
O3 O 0.683 0.250 0.373
O4 O 0.817 0.750 0.873
```

Values from the calculation:
* uncorrected energy: -4.2321 eV/atom
* symmetry: Pnma (62)
* Fermi-level density of states: 16.5 states/eV per cell

# 9
Here is a relaxed La2Er3Tm2 crystal from Alexandria. Energies are from PBE-GGA.

The structure in CIF format:
```
data_La2Er3Tm2
_symmetry_space_group_name_H-M 'P 1'
_symmetry_Int_Tables_number 1
_symmetry_space_group_name_Hall 'P 1'
_cell_length_a 15.538
_cell_length_b 3.576
_cell_length_c 8.741
_cell_angle_alpha 90.00
_cell_angle_beta 111.68
_cell_angle_gamma 90.00
loop_
_atom_site_label
_atom_site_type_symbol
_atom_site_fract_x
_atom_site_fract_y
_atom_site_fract_z
La1 La 0.072 0.000 0.216
La2 La 0.428 0.500 0.784
La3 La 0.572 0.500 0.216
La4 La 0.928 0.000 0.784
Er1 Er 0.000 0.500 0.500
Er2 Er 0.212 0.000 0.641
Er3 Er 0.288 0.500 0.359
Er4 Er 0.500 0.000 0.500
Er5 Er 0.712 0.500 0.641
Er6 Er 0.788 0.000 0.359
Tm1 Tm 0.147 0.500 0.929
Tm2 Tm 0.353 0.000 0.071
Tm3 Tm 0.647 0.000 0.929
Tm4 Tm 0.853 0.500 0.071
```

Values from the calculation:
* E_form: 0.03 eV/atom
* symmetry: C2/m (12)
* relative energy among the computed polymorphs: 0 meV/atom
* Fermi-level density of states: 20.2 states/eV per cell

# 10
Here is a relaxed La2Pm6PrNd crystal from Alexandria. Energies are from PBE-GGA.

The structure in CIF format:
```
data_La2Pm6PrNd
_symmetry_space_group_name_H-M 'P 1'
_symmetry_Int_Tables_number 1
_symmetry_space_group_name_Hall 'P 1'
_cell_length_a 8.926
_cell_length_b 8.926
_cell_length_c 10.222
_cell_angle_alpha 95.36
_cell_angle_beta 95.36
_cell_angle_gamma 117.76
loop_
_atom_site_label
_atom_site_type_symbol
_atom_site_fract_x
_atom_site_fract_y
_atom_site_fract_z
La1 La 0.188 0.284 0.040
La2 La 0.284 0.188 0.540
La3 La 0.716 0.812 0.460
La4 La 0.812 0.716 0.960
Pm1 Pm 0.022 0.579 0.188
Pm2 Pm 0.118 0.735 0.556
Pm3 Pm 0.265 0.882 0.944
Pm4 Pm 0.300 0.506 0.379
Pm5 Pm 0.421 0.978 0.312
Pm6 Pm 0.494 0.700 0.121
Pm7 Pm 0.506 0.300 0.879
Pm8 Pm 0.579 0.022 0.688
Pm9 Pm 0.700 0.494 0.621
Pm10 Pm 0.735 0.118 0.056
Pm11 Pm 0.882 0.265 0.444
Pm12 Pm 0.978 0.421 0.812
Pr1 Pr 0.011 0.989 0.250
Pr2 Pr 0.989 0.011 0.750
Nd1 Nd 0.404 0.596 0.750
Nd2 Nd 0.596 0.404 0.250
```

Values from the calculation:
* E_form: 0.11 eV/atom
* symmetry: C2/c (15)
* Fermi-level density of states: 31.7 states/eV per cell

# 11
Here is a relaxed Tb4Te5Pb2 crystal from Alexandria. Energies are from PBE-GGA.

The structure in CIF format:
```
data_Tb4Te5Pb2
_symmetry_space_group_name_H-M 'P 1'
_symmetry_Int_Tables_number 1
_symmetry_space_group_name_Hall 'P 1'
_cell_length_a 9.920
_cell_length_b 9.920
_cell_length_c 8.218
_cell_angle_alpha 90.20
_cell_angle_beta 90.20
_cell_angle_gamma 26.38
loop_
_atom_site_label
_atom_site_type_symbol
_atom_site_fract_x
_atom_site_fract_y
_atom_site_fract_z
Tb1 Tb 0.041 0.041 0.238
Tb2 Tb 0.331 0.331 0.198
Tb3 Tb 0.669 0.669 0.802
Tb4 Tb 0.959 0.959 0.762
Te1 Te 0.099 0.099 0.585
Te2 Te 0.177 0.177 0.060
Te3 Te 0.500 0.500 0.000
Te4 Te 0.823 0.823 0.940
Te5 Te 0.901 0.901 0.415
Pb1 Pb 0.276 0.276 0.620
Pb2 Pb 0.724 0.724 0.380
```

Values from the calculation:
* uncorrected energy: -4.7052 eV/atom
* symmetry: C2/m (12)
* Fermi-level density of states: 5.7 states/eV per cell

# 12
Here is a relaxed KScFe crystal from Alexandria. Energies are from PBE-GGA.

The structure in CIF format:
```
data_KScFe
_symmetry_space_group_name_H-M 'P 1'
_symmetry_Int_Tables_number 1
_symmetry_space_group_name_Hall 'P 1'
_cell_length_a 3.358
_cell_length_b 3.358
_cell_length_c 14.530
_cell_angle_alpha 90.00
_cell_angle_beta 90.00
_cell_angle_gamma 90.00
loop_
_atom_site_label
_atom_site_type_symbol
_atom_site_fract_x
_atom_site_fract_y
_atom_site_fract_z
K1 K 0.000 0.000 0.000
K2 K 0.500 0.500 0.500
Sc1 Sc 0.000 0.000 0.739
Sc2 Sc 0.500 0.500 0.239
Fe1 Fe 0.000 0.000 0.321
Fe2 Fe 0.500 0.500 0.821
```

Values from the calculation:
* E_form: 0.60 eV/atom
* symmetry: I4mm (107)
* relative energy among the computed polymorphs: 0 meV/atom
* Fermi-level density of states: 9.9 states/eV per cell

Number 1: volume 246.8 Å³ per cell. Number 2: volume 222.3 Å³ per cell. Number 3: volume 445.4 Å³ per cell. Number 4: volume 359.1 Å³ per cell. Number 5: volume 219.4 Å³ per cell. Number 6: volume 403.0 Å³ per cell. Number 7: volume 80.9 Å³ per cell. Number 8: volume 1297.7 Å³ per cell. Number 9: volume 451.4 Å³ per cell. Number 10: volume 708.9 Å³ per cell. Number 11: volume 359.3 Å³ per cell. Number 12: volume 163.8 Å³ per cell.